Entry 1:
# LiLa2In

A geometry-optimized LiLa2In structure (PBE, Alexandria).

abc: 3.6573 3.6573 33.1166
angles: 90.00 90.00 120.00
Space group R-3m (No. 166, hexagonal axes)
Symmetry-distinct sites (fractional):
Li (0.0000, 0.0000, 0.0000) (multiplicity 3)
La (0.0000, 0.0000, 0.2469) (multiplicity 6)
In (0.0000, 0.0000, 0.5000) (multiplicity 3)

Formation energy from the elements   -47 meV/atom
D(E_F)   13.8 states/eV/cell
DFT total energy   -3.674 eV per atom

Entry 2:
# YHo2Si2

A geometry-optimized YHo2Si2 structure (PBE, Alexandria).

abc: 7.469 7.469 4.198
angles: 90.00 90.00 90.00
Space group P4/mbm (No. 127)
Symmetry-distinct sites (fractional):
Y (0.000, 0.000, 0.000) (multiplicity 2)
Ho (0.176, 0.324, 0.500) (multiplicity 4)
Si (0.117, 0.617, 0.000) (multiplicity 4)

D(E_F)   8.6 states/eV/cell
DFT total energy   -6.001 eV per atom
Formation energy from raw total energies   -0.71 eV/atom

Entry 3:
# La2AlAu

A geometry-optimized La2AlAu structure (PBE, Alexandria).

abc: 4.712 4.712 21.233
angles: 90.00 90.00 90.00
Space group I-42d (No. 122)
Symmetry-distinct sites (fractional):
La (0.245, 0.250, 0.125) (multiplicity 8)
Al (0.000, 0.000, 0.000) (multiplicity 4)
Au (0.000, 0.000, 0.500) (multiplicity 4)

Formation energy from the elements   85 meV/atom
D(E_F)   23.3 states/eV/cell
DFT total energy   -4.134 eV per atom